[1]
# PBE Dy6HPb3, relaxed
data_Dy6HPb3
_symmetry_space_group_name_H-M 'C m c 21'
_symmetry_Int_Tables_number 36
_symmetry_space_group_name_Hall 'C 2c -2'
_cell_length_a 10.6612
_cell_length_b 16.9862
_cell_length_c 5.8632
_cell_angle_alpha 90.00
_cell_angle_beta 90.00
_cell_angle_gamma 90.00
loop_
_atom_site_label
_atom_site_type_symbol
_atom_site_fract_x
_atom_site_fract_y
_atom_site_fract_z
Dy1 Dy 0.0000 0.0714 0.0000
Dy2 Dy 0.0000 0.2491 0.6527
Dy3 Dy 0.1653 0.2573 0.1449
Dy4 Dy 0.1664 0.4245 0.5025
H1 H 0.0000 0.2000 0.9977
Pb1 Pb 0.0000 0.4101 0.9829
Pb2 Pb 0.1650 0.0934 0.4809
# - DOS(E_F): 0.83 states/eV/atom
# - Total energy: -4.586 eV per atom

[2]
# PBE Dy6HPb5, relaxed
data_Dy6HPb5
_symmetry_space_group_name_H-M 'C 1 2/m 1'
_symmetry_Int_Tables_number 12
_symmetry_space_group_name_Hall '-C 2y'
_cell_length_a 8.1779
_cell_length_b 15.8189
_cell_length_c 6.1318
_cell_angle_alpha 90.00
_cell_angle_beta 122.46
_cell_angle_gamma 90.00
loop_
_atom_site_label
_atom_site_type_symbol
_atom_site_fract_x
_atom_site_fract_y
_atom_site_fract_z
Dy1 Dy 0.1889 0.0000 0.3559
Dy2 Dy 0.2492 0.1701 0.7589
H1 H 0.0000 0.0000 0.5000
Pb1 Pb 0.0000 0.1599 0.0000
Pb2 Pb 0.0000 0.3448 0.5000
Pb3 Pb 0.0000 0.5000 0.0000
# - DOS(E_F): 0.70 states/eV/atom
# - Total energy: -4.459 eV per atom

[3]
# PBE DyH6Rh2Pb, relaxed
data_DyH6Rh2Pb
_symmetry_space_group_name_H-M 'C 1 2/c 1'
_symmetry_Int_Tables_number 15
_symmetry_space_group_name_Hall '-C 2yc'
_cell_length_a 7.7896
_cell_length_b 9.5157
_cell_length_c 6.1813
_cell_angle_alpha 90.00
_cell_angle_beta 106.35
_cell_angle_gamma 90.00
loop_
_atom_site_label
_atom_site_type_symbol
_atom_site_fract_x
_atom_site_fract_y
_atom_site_fract_z
Dy1 Dy 0.0000 0.1098 0.2500
H1 H 0.0733 0.1010 0.6262
H2 H 0.1720 0.2645 0.1240
H3 H 0.2217 0.4993 0.5684
Rh1 Rh 0.2045 0.3871 0.3244
Pb1 Pb 0.0000 0.3519 0.7500
# - DOS(E_F): 0.38 states/eV/atom
# - Total energy: -4.490 eV per atom

[4]
# PBE Dy3HPbS, relaxed
data_Dy3HPbS
_symmetry_space_group_name_H-M 'P 1 21/m 1'
_symmetry_Int_Tables_number 11
_symmetry_space_group_name_Hall '-P 2yb'
_cell_length_a 8.0324
_cell_length_b 4.1019
_cell_length_c 8.5601
_cell_angle_alpha 90.00
_cell_angle_beta 100.09
_cell_angle_gamma 90.00
loop_
_atom_site_label
_atom_site_type_symbol
_atom_site_fract_x
_atom_site_fract_y
_atom_site_fract_z
Dy1 Dy 0.0697 0.2500 0.3288
Dy2 Dy 0.3212 0.2500 0.9575
Dy3 Dy 0.3821 0.7500 0.6268
H1 H 0.4115 0.7500 0.8982
Pb1 Pb 0.3306 0.7500 0.2435
S1 S 0.1545 0.2500 0.6492
# - DOS(E_F): 0.53 states/eV/atom
# - Total energy: -5.149 eV per atom

[5]
# PBE Dy3HPbSe, relaxed
data_Dy3HPbSe
_symmetry_space_group_name_H-M 'P 1 21/m 1'
_symmetry_Int_Tables_number 11
_symmetry_space_group_name_Hall '-P 2yb'
_cell_length_a 8.2214
_cell_length_b 4.1921
_cell_length_c 8.5781
_cell_angle_alpha 90.00
_cell_angle_beta 98.74
_cell_angle_gamma 90.00
loop_
_atom_site_label
_atom_site_type_symbol
_atom_site_fract_x
_atom_site_fract_y
_atom_site_fract_z
Dy1 Dy 0.0830 0.2500 0.3192
Dy2 Dy 0.3293 0.2500 0.9667
Dy3 Dy 0.3868 0.7500 0.6284
H1 H 0.4093 0.7500 0.8996
Pb1 Pb 0.3413 0.7500 0.2491
Se1 Se 0.1498 0.2500 0.6541
# - DOS(E_F): 0.49 states/eV/atom
# - Total energy: -4.965 eV per atom

[6]
# PBE DyH3Pd6, relaxed
data_DyH3Pd6
_symmetry_space_group_name_H-M 'P 1'
_symmetry_Int_Tables_number 1
_symmetry_space_group_name_Hall 'P 1'
_cell_length_a 4.9869
_cell_length_b 5.1233
_cell_length_c 5.1913
_cell_angle_alpha 99.03
_cell_angle_beta 97.94
_cell_angle_gamma 101.71
loop_
_atom_site_label
_atom_site_type_symbol
_atom_site_fract_x
_atom_site_fract_y
_atom_site_fract_z
Dy1 Dy 0.0000 0.0000 0.0000
H1 H 0.3745 0.5648 0.8224
H2 H 0.7664 0.0510 0.5607
H3 H 0.9139 0.4570 0.1724
Pd1 Pd 0.1257 0.2975 0.5712
Pd2 Pd 0.2885 0.5869 0.1545
Pd3 Pd 0.4143 0.8694 0.6882
Pd4 Pd 0.5688 0.1673 0.2878
Pd5 Pd 0.6966 0.4275 0.8504
Pd6 Pd 0.8440 0.7256 0.4223
# - DOS(E_F): 0.29 states/eV/atom
# - Total energy: -4.975 eV per atom